Record 1
Here is Ta3W2 after structural relaxation from the Alexandria database. Energies are from GGA-PBE.

Calculated values
Energy of formation in eV per atom: 0.168
M_tot in μB per cell: 0.00

Cell: 5.2719 9.6904 13.8492 Å, 90.00 90.00 90.00°
Closest atoms and distances in Å follow each position.
Space group Fddd (No. 70, origin choice 2)
Unique sites:
Ta  0.1250  0.1250  0.0220 (multiplicity 16)  5 W 2.73-2.96, 5 Ta 2.82-3.00
Ta  0.1250  0.1250  0.6250 (multiplicity 8)  6 W 2.77-2.84, 4 Ta 3.00
W  0.1250  0.1250  0.4251 (multiplicity 16)  8 Ta 2.73-2.96, 2 W 2.98

=====

Record 2
Here is TaW3 after structural relaxation from the Alexandria database. Energies are from GGA-PBE.

Calculated values
Energy of formation in eV per atom: 3.326
M_tot in μB per cell: 0.00

Cell: 4.8165 4.8165 4.8165 Å, 90.00 90.00 90.00°
Closest atoms and distances in Å follow each position.
Space group Pm-3m (No. 221)
Unique sites:
Ta  0.0000  0.0000  0.0000 (multiplicity 1)  6 W 2.41
W  0.0000  0.0000  0.5000 (multiplicity 3)  2 Ta 2.41